No. 1
Density functional theory data (PBE-GGA) for a relaxed structure of AgPW2.

Cell: 2.964 2.964 6.998 Å, 90.00 90.00 90.00°
Positions (direct):
1 Ag 0.500 0.500 0.250
2 P 0.500 0.500 0.750
3 W 0.000 0.000 0.952
4 W 0.000 0.000 0.548

Summary:
As for the formation enthalpy at 0 K: 0.28 eV/atom. The value obtained for the calculated volume is 15.4 Å³/atom. The total moment is 0.0 μB/f.u. The distance to the lowest polymorph of the same formula comes out at 0.000 eV per atom.

---

No. 2
Density functional theory data (PBE-GGA) for a relaxed structure of PuAl.

Cell: 2.571 2.571 4.936 Å, 90.00 90.00 90.00°
Positions (direct):
1 Pu 0.000 0.000 0.000
2 Al 0.500 0.500 0.500

Summary:
As for the formation enthalpy at 0 K: 0.13 eV/atom. The value obtained for the calculated volume is 16.3 Å³/atom. The total moment is 0.0 μB/f.u.

---

No. 3
Density functional theory data (PBE-GGA) for a relaxed structure of NdCdSnPd.

Cell: 5.057 5.057 5.057 Å, 60.00 60.00 60.00°
Positions (direct):
1 Nd 0.250 0.250 0.250
2 Sn 0.750 0.750 0.750
3 Pd 0.500 0.500 0.500
4 Cd 0.000 0.000 0.000

Summary:
As for the formation enthalpy at 0 K: -0.53 eV/atom. The value obtained for the calculated volume is 22.9 Å³/atom. The total moment is 0.0 μB/f.u.

---

No. 4
Density functional theory data (PBE-GGA) for a relaxed structure of Nd4RuRhBr2.

Cell: 4.092 7.100 8.225 Å, 106.62 90.00 90.00°
Positions (direct):
1 Nd 0.500 0.237 0.196
2 Nd 0.500 0.763 0.804
3 Nd 0.000 0.271 0.802
4 Nd 0.000 0.729 0.198
5 Ru 0.500 0.500 0.000
6 Rh 0.000 0.000 0.000
7 Br 0.500 0.000 0.500
8 Br 0.000 0.500 0.500

Summary:
The value obtained for the calculated volume is 28.6 Å³/atom. The value obtained for the energy relative to the elements, uncorrected is -89.34 kJ/mol of atoms. The total moment is 0.0 μB/f.u.

---

No. 5
Density functional theory data (PBE-GGA) for a relaxed structure of Sr2ZnCuAg6.

Cell: 7.131 7.106 7.119 Å, 47.13 77.21 95.85°
Positions (direct):
1 Sr 0.785 0.243 0.461
2 Sr 0.215 0.757 0.539
3 Zn 0.000 0.000 0.000
4 Cu 0.500 0.500 0.000
5 Ag 0.259 0.261 0.499
6 Ag 0.603 0.746 0.148
7 Ag 0.261 0.759 0.002
8 Ag 0.739 0.241 0.998
9 Ag 0.397 0.254 0.852
10 Ag 0.741 0.739 0.501

Summary:
As for the formation enthalpy at 0 K: -0.10 eV/atom. The value obtained for the calculated volume is 24.1 Å³/atom. The total moment is 0.0 μB/f.u.

---

No. 6
Density functional theory data (PBE-GGA) for a relaxed structure of Tl2W.

Cell: 11.438 11.438 4.565 Å, 90.00 90.00 165.17°
Positions (direct):
1 Tl 0.409 0.591 0.250
2 Tl 0.591 0.409 0.750
3 Tl 0.688 0.312 0.250
4 Tl 0.312 0.688 0.750
5 W 0.031 0.969 0.250
6 W 0.969 0.031 0.750

Summary:
As for the formation enthalpy at 0 K: 0.70 eV/atom. The value obtained for the calculated volume is 25.5 Å³/atom. The total moment is 0.0 μB/f.u. The distance to the lowest polymorph of the same formula comes out at 0.072 eV per atom.

---

No. 7
Density functional theory data (PBE-GGA) for a relaxed structure of Tb6PdPt5.

Cell: 4.974 6.999 7.843 Å, 90.00 108.14 90.00°
Positions (direct):
1 Tb 0.832 0.750 0.665
2 Tb 0.832 0.250 0.665
3 Tb 0.500 0.253 0.000
4 Tb 0.500 0.747 0.000
5 Tb 0.168 0.750 0.335
6 Tb 0.168 0.250 0.335
7 Pt 0.671 0.500 0.339
8 Pt 0.338 0.000 0.678
9 Pt 0.000 0.500 0.000
10 Pt 0.662 0.000 0.322
11 Pt 0.329 0.500 0.661
12 Pd 0.000 0.000 0.000

Summary:
As for the formation enthalpy at 0 K: -1.15 eV/atom. The value obtained for the calculated volume is 21.6 Å³/atom. The total moment is 0.0 μB/f.u. The distance to the lowest polymorph of the same formula comes out at 0.000 eV per atom.

---

No. 8
Density functional theory data (PBE-GGA) for a relaxed structure of SrGa2Os2.

Cell: 4.472 4.472 5.899 Å, 67.73 67.73 90.00°
Positions (direct):
1 Sr 0.000 0.000 0.000
2 Os 0.381 0.381 0.237
3 Os 0.619 0.619 0.763
4 Ga 0.750 0.250 0.500
5 Ga 0.250 0.750 0.500

Summary:
As for the formation enthalpy at 0 K: -0.05 eV/atom. The value obtained for the calculated volume is 19.9 Å³/atom. The total moment is 0.0 μB/f.u.

---

What did the sixth record say?
Density functional theory data (PBE-GGA) for a relaxed structure of Tl2W.

Cell: 11.438 11.438 4.565 Å, 90.00 90.00 165.17°
Positions (direct):
1 Tl 0.409 0.591 0.250
2 Tl 0.591 0.409 0.750
3 Tl 0.688 0.312 0.250
4 Tl 0.312 0.688 0.750
5 W 0.031 0.969 0.250
6 W 0.969 0.031 0.750

Summary:
As for the formation enthalpy at 0 K: 0.70 eV/atom. The value obtained for the calculated volume is 25.5 Å³/atom. The total moment is 0.0 μB/f.u. The distance to the lowest polymorph of the same formula comes out at 0.072 eV per atom.

---

- Which of these has the highest calculated volume?
  Nd4RuRhBr2

---

- Which of these has the highest calculated volume?
  Nd4RuRhBr2